[1]
First-principles (PBE-GGA) data for a relaxed CeGdZr crystal, as listed in Alexandria via LeMat-Bulk.

Space-group type: I4mm, No. 107
D(E_F) in states/eV/f.u.: 5.92
Total moment in μB per atom: 2.6080
E in eV per atom: -9.41
Formation energy from the elements in eV per atom: 0.113

a = 7.917 Å, b = 7.917 Å, c = 7.917 Å
α = 155.87°, β = 155.87°, γ = 34.39°
Atoms (fractional coordinates):
Ce (0.000, 0.000, 0.000)
Gd (0.318, 0.318, 0.000)
Zr (0.657, 0.657, 0.000)



[2]
First-principles (PBE-GGA) data for a relaxed CeGe6 crystal, as listed in Alexandria via LeMat-Bulk.

Space-group type: Im-3m, No. 229
D(E_F) in states/eV/f.u.: 12.13
Total moment in μB per atom: 0.2291
E in eV per atom: -4.62
Formation energy from the elements in eV per atom: 0.190

a = 6.123 Å, b = 6.123 Å, c = 6.123 Å
α = 109.47°, β = 109.47°, γ = 109.47°
Atoms (fractional coordinates):
Ce (0.000, 0.000, 0.000)
Ge (0.250, 0.500, 0.750)
Ge (0.250, 0.750, 0.500)
Ge (0.500, 0.250, 0.750)
Ge (0.500, 0.750, 0.250)
Ge (0.750, 0.250, 0.500)
Ge (0.750, 0.500, 0.250)



[3]
First-principles (PBE-GGA) data for a relaxed CeGe2 crystal, as listed in Alexandria via LeMat-Bulk.

Space-group type: I4_1/amd, No. 141
D(E_F) in states/eV/f.u.: 5.45
Total moment in μB per atom: 0.2381
E in eV per atom: -5.63
Formation energy from the elements in eV per atom: -0.575

a = 8.558 Å, b = 8.558 Å, c = 8.558 Å
α = 152.31°, β = 152.31°, γ = 39.57°
Atoms (fractional coordinates):
Ce (0.375, 0.625, 0.750)
Ce (0.625, 0.375, 0.250)
Ge (0.045, 0.795, 0.250)
Ge (0.205, 0.955, 0.250)
Ge (0.795, 0.045, 0.750)
Ge (0.955, 0.205, 0.750)



[4]
First-principles (PBE-GGA) data for a relaxed Ce3Ge2 crystal, as listed in Alexandria via LeMat-Bulk.

Space-group type: I4_1/amd, No. 141
D(E_F) in states/eV/f.u.: 11.19
Total moment in μB per atom: 0.5476
E in eV per atom: -5.94
Formation energy from the elements in eV per atom: -0.537

a = 8.555 Å, b = 8.555 Å, c = 8.555 Å
α = 139.91°, β = 139.91°, γ = 57.99°
Atoms (fractional coordinates):
Ce (0.000, 0.000, 0.000)
Ce (0.000, 0.000, 0.500)
Ce (0.000, 0.500, 0.000)
Ce (0.375, 0.625, 0.750)
Ce (0.500, 0.000, 0.500)
Ce (0.625, 0.375, 0.250)
Ge (0.177, 0.427, 0.750)
Ge (0.427, 0.177, 0.250)
Ge (0.573, 0.823, 0.750)
Ge (0.823, 0.573, 0.250)



[5]
First-principles (PBE-GGA) data for a relaxed Ce7Ge crystal, as listed in Alexandria via LeMat-Bulk.

Space-group type: Fm-3m, No. 225
D(E_F) in states/eV/f.u.: 19.82
Total moment in μB per atom: 0.0001
E in eV per atom: -5.96
Formation energy from the elements in eV per atom: -0.188

a = 6.523 Å, b = 6.523 Å, c = 6.523 Å
α = 60.00°, β = 60.00°, γ = 60.00°
Atoms (fractional coordinates):
Ce (0.000, 0.000, 0.000)
Ce (0.000, 0.000, 0.500)
Ce (0.000, 0.500, 0.000)
Ce (0.000, 0.500, 0.500)
Ce (0.500, 0.000, 0.000)
Ce (0.500, 0.000, 0.500)
Ce (0.500, 0.500, 0.000)
Ge (0.500, 0.500, 0.500)



[6]
First-principles (PBE-GGA) data for a relaxed Ce7Ge2 crystal, as listed in Alexandria via LeMat-Bulk.

Space-group type: P-3m1, No. 164
D(E_F) in states/eV/f.u.: 23.03
Total moment in μB per atom: 0.1767
E in eV per atom: -5.94
Formation energy from the elements in eV per atom: -0.299

a = 5.242 Å, b = 5.242 Å, c = 9.114 Å
α = 90.00°, β = 90.00°, γ = 120.00°
Atoms (fractional coordinates):
Ce (0.000, 0.000, 0.000)
Ce (0.000, 0.000, 0.315)
Ce (0.000, 0.000, 0.685)
Ce (0.333, 0.667, 0.198)
Ce (0.333, 0.667, 0.504)
Ce (0.667, 0.333, 0.496)
Ce (0.667, 0.333, 0.802)
Ge (0.333, 0.667, 0.848)
Ge (0.667, 0.333, 0.152)



[7]
First-principles (PBE-GGA) data for a relaxed CeGe2 crystal, as listed in Alexandria via LeMat-Bulk.

Space-group type: Fd-3m, No. 227
D(E_F) in states/eV/f.u.: 5.26
Total moment in μB per atom: 0.2049
E in eV per atom: -5.47
Formation energy from the elements in eV per atom: -0.411

a = 5.614 Å, b = 5.614 Å, c = 5.614 Å
α = 60.00°, β = 60.00°, γ = 60.00°
Atoms (fractional coordinates):
Ce (0.125, 0.125, 0.125)
Ce (0.875, 0.875, 0.875)
Ge (0.000, 0.500, 0.500)
Ge (0.500, 0.000, 0.500)
Ge (0.500, 0.500, 0.000)
Ge (0.500, 0.500, 0.500)



[8]
First-principles (PBE-GGA) data for a relaxed CeGe4 crystal, as listed in Alexandria via LeMat-Bulk.

Space-group type: Pm-3m, No. 221
D(E_F) in states/eV/f.u.: 8.91
Total moment in μB per atom: 0.1134
E in eV per atom: -3.91
Formation energy from the elements in eV per atom: 0.971

a = 5.413 Å, b = 5.413 Å, c = 5.413 Å
α = 90.00°, β = 90.00°, γ = 90.00°
Atoms (fractional coordinates):
Ce (0.000, 0.000, 0.000)
Ge (0.000, 0.000, 0.500)
Ge (0.000, 0.500, 0.000)
Ge (0.500, 0.000, 0.000)
Ge (0.500, 0.500, 0.500)